W2NCl8 | PBE | relaxed

Summary:
Raw total energy = -5.29 eV per atom
SG = P-1 (2)
Formation energy without anion corrections = -0.83 eV/atom
Polymorph energy (0 for the lowest one) = 0 meV/atom

a = 6.9574 Å, b = 7.0011 Å, c = 7.0539 Å
α = 90.71°, β = 96.00°, γ = 96.41°
Last column: nearest neighbours and their distance in Å.
Fractional positions:
W 0.0521 0.4157 0.2661  1 N 1.83
W 0.9479 0.5843 0.7339  1 N 1.83
N 0.0000 0.5000 0.5000  2 W 1.83
Cl 0.1062 0.3284 0.9053  2 W 2.47-2.68
Cl 0.2114 0.1586 0.3594  1 W 2.29
Cl 0.2396 0.7730 0.7983  1 W 2.29
Cl 0.3377 0.6141 0.2657  1 W 2.29
Cl 0.6623 0.3859 0.7343  1 W 2.29
Cl 0.7604 0.2270 0.2017  1 W 2.29
Cl 0.7886 0.8414 0.6406  1 W 2.29
Cl 0.8938 0.6716 0.0947  2 W 2.47-2.68